1.
Here is CaBi2Pd7 after structural relaxation from the Alexandria database. Energies are from PBE-GGA.

abc: 7.8677 7.8677 4.4604
angles: 90.00 90.00 123.55
With the nearest neighbours (Å) after each atom.
Positions (direct):
Ca (0.0000, 0.0000, 0.0000)  10 Pd 2.78-2.99
Bi (0.3034, 0.6966, 0.5000)  5 Pd 2.65-2.73
Bi (0.6966, 0.3034, 0.5000)  5 Pd 2.65-2.73
Pd (0.0762, 0.2865, 0.5000)  1 Bi 2.69, 5 Pd 2.70-2.92, 2 Ca 2.99
Pd (0.2002, 0.7998, 0.0000)  2 Bi 2.65, 1 Ca 2.78, 4 Pd 2.92
Pd (0.2865, 0.0762, 0.5000)  1 Bi 2.69, 5 Pd 2.70-2.92, 2 Ca 2.99
Pd (0.5000, 0.5000, 0.5000)  2 Bi 2.73, 4 Pd 2.78
Pd (0.7135, 0.9238, 0.5000)  1 Bi 2.69, 5 Pd 2.70-2.92, 2 Ca 2.99
Pd (0.7998, 0.2002, 0.0000)  2 Bi 2.65, 1 Ca 2.78, 4 Pd 2.92
Pd (0.9238, 0.7135, 0.5000)  1 Bi 2.69, 5 Pd 2.70-2.92, 2 Ca 2.99

Output
* DFT formation energy: -73 meV per atom
* total DFT energy (no corrections): -46.84 eV for the cell shown



2.
Here is CaBi2Pd7 after structural relaxation from the Alexandria database. Energies are from PBE-GGA.

abc: 12.2256 12.2256 12.2256
angles: 160.78 160.78 27.32
With the nearest neighbours (Å) after each atom.
Positions (direct):
Ca (0.0000, 0.0000, 0.0000)  12 Pd 2.89-2.94
Bi (0.3321, 0.3321, 0.0000)  8 Pd 2.77-2.82
Bi (0.6679, 0.6679, 0.0000)  8 Pd 2.77-2.82
Pd (0.0892, 0.5892, 0.5000)  2 Bi 2.77, 6 Pd 2.89-2.94, 2 Ca 2.94
Pd (0.2500, 0.7500, 0.5000)  4 Bi 2.82, 4 Pd 2.89
Pd (0.4108, 0.9108, 0.5000)  2 Bi 2.77, 6 Pd 2.89-2.94, 2 Ca 2.94
Pd (0.5000, 0.5000, 0.0000)  4 Ca 2.89, 8 Pd 2.94
Pd (0.5892, 0.0892, 0.5000)  2 Bi 2.77, 6 Pd 2.89-2.94, 2 Ca 2.94
Pd (0.7500, 0.2500, 0.5000)  4 Bi 2.82, 4 Pd 2.89
Pd (0.9108, 0.4108, 0.5000)  2 Bi 2.77, 6 Pd 2.89-2.94, 2 Ca 2.94

Output
* DFT formation energy: -322 meV per atom
* total DFT energy (no corrections): -49.34 eV for the cell shown



3.
Here is CaBi5Pd6 after structural relaxation from the Alexandria database. Energies are from PBE-GGA.

abc: 7.3421 7.3421 7.2743
angles: 94.99 94.99 134.27
With the nearest neighbours (Å) after each atom.
Positions (direct):
Ca (0.0000, 0.0000, 0.0000)  8 Pd 3.03-3.34
Bi (0.0000, 0.0000, 0.5000)  6 Pd 2.83
Bi (0.3160, 0.6840, 0.0000)  6 Pd 2.86-2.92
Bi (0.3572, 0.6428, 0.5000)  4 Pd 2.83-3.04
Bi (0.6428, 0.3572, 0.5000)  4 Pd 2.83-3.04
Bi (0.6840, 0.3160, 0.0000)  6 Pd 2.86-2.92
Pd (0.1078, 0.7508, 0.2926)  4 Bi 2.83-2.92, 2 Pd 2.94-3.08
Pd (0.2492, 0.8922, 0.7074)  4 Bi 2.83-2.92, 2 Pd 2.94-3.08
Pd (0.4126, 0.4126, 0.8008)  5 Bi 2.83-3.04, 3 Pd 2.85-3.08, 1 Ca 3.03
Pd (0.5874, 0.5874, 0.1992)  5 Bi 2.83-3.04, 3 Pd 2.85-3.08, 1 Ca 3.03
Pd (0.7508, 0.1078, 0.2926)  4 Bi 2.83-2.92, 2 Pd 2.94-3.08
Pd (0.8922, 0.2492, 0.7074)  4 Bi 2.83-2.92, 2 Pd 2.94-3.08

Output
* DFT formation energy: -329 meV per atom
* total DFT energy (no corrections): -56.51 eV for the cell shown



> Look up the DFT formation energy of the first one.

-73 meV per atom